The following is a DFT calculation (PBE) of an optimized crystal structure of ErPuTh.

Unit cell a=3.254 b=5.642 c=5.642 alpha=120.00 beta=90.00 gamma=90.00
Element x y z (fractional)
Th: 0.168 0.667 0.333
Pu: 0.667 0.333 0.667
Er: 0.165 0.000 0.000

Computed properties:
density of states at the Fermi level	9.391	states/eV/cell
relative energy among the computed polymorphs	0.150	eV per atom



The following is a DFT calculation (PBE) of an optimized crystal structure of TlWCl2.

Unit cell a=11.811 b=11.811 c=11.811 alpha=15.46 beta=15.46 gamma=15.46
Element x y z (fractional)
W: 0.750 0.750 0.750
Cl: 0.466 0.466 0.466
Cl: 0.034 0.034 0.034
Tl: 0.250 0.250 0.250

Computed properties:
density of states at the Fermi level	5.029	states/eV/cell
relative energy among the computed polymorphs	0.052	eV per atom



The following is a DFT calculation (PBE) of an optimized crystal structure of K2SiAu5.

Unit cell a=6.191 b=6.191 c=6.899 alpha=116.67 beta=116.66 gamma=90.00
Element x y z (fractional)
Au: 0.757 0.284 0.041
Au: 0.757 0.757 0.041
Au: 0.284 0.757 0.041
Au: 0.707 0.707 0.414
Au: 0.284 0.284 0.041
K: 0.275 0.775 0.549
K: 0.775 0.275 0.549
Si: 0.939 0.939 0.877

Computed properties:
density of states at the Fermi level	4.584	states/eV/cell
final energy	-3.246	eV per atom



The following is a DFT calculation (PBE) of an optimized crystal structure of MgGe2TeP.

Unit cell a=5.471 b=5.172 c=5.471 alpha=90.00 beta=90.00 gamma=90.00
Element x y z (fractional)
P: 0.500 0.500 0.500
Ge: 0.500 0.000 0.000
Ge: 0.000 0.000 0.500
Mg: 0.000 0.500 0.000
Te: 0.000 0.000 0.000

Computed properties:
density of states at the Fermi level	2.828	states/eV/cell
final energy	-2.891	eV per atom



Ordered density results: 11.91, 7.48, 8.87, 3.52; unit g/cm3.